1.
Here is crystalline LaIn3Rh at its relaxed geometry from Alexandria via LeMat-Bulk. Energies are from PBE.

The structure belongs to space group Pnma (No. 62); the cell edges are 9.190, 4.525 and 11.732 Å and the angles 90.00°, 90.00° and 90.00°. The distinct sites, in fractional coordinates, are La at (0.202, 0.250, 0.007), In at (0.054, 0.250, 0.587), In at (0.102, 0.750, 0.795), In at (0.148, 0.750, 0.212) and Rh at (0.118, 0.250, 0.357).

Its crystal system is orthorhombic. The excess energy over the best structure of this formula in the dataset is 0 meV per atom. The energy relative to the elements comes out at -0.53 eV per atom. Its density of states at the Fermi level is 8.92 states/eV/cell. The magnetic moment is 0.0 μB/cell. The calculation puts the total DFT energy (no corrections) at -92.6 eV for the cell shown.

2.
Here is crystalline La5In2Rh2 at its relaxed geometry from Alexandria via LeMat-Bulk. Energies are from PBE.

The structure belongs to space group Cmce (No. 64); the cell edges are 16.437, 7.256 and 8.945 Å and the angles 90.00°, 90.00° and 90.00°. The distinct sites, in fractional coordinates, are La at (0.000, 0.000, 0.000), La at (0.120, 0.152, 0.321), In at (0.214, 0.000, 0.000) and Rh at (0.000, 0.142, 0.618).

Its crystal system is orthorhombic. The energy relative to the elements comes out at -0.54 eV per atom. Its density of states at the Fermi level is 26.40 states/eV/cell. The magnetic moment is 0.0 μB/cell. The calculation puts the total DFT energy (no corrections) at -198.7 eV for the cell shown.

3.
Here is crystalline LaIn5Rh at its relaxed geometry from Alexandria via LeMat-Bulk. Energies are from PBE.

The structure belongs to space group P4/mmm (No. 123); the cell edges are 4.736, 4.736 and 7.687 Å and the angles 90.00°, 90.00° and 90.00°. The distinct sites, in fractional coordinates, are La at (0.000, 0.000, 0.000), In at (0.000, 0.500, 0.307), In at (0.500, 0.500, 0.000) and Rh at (0.000, 0.000, 0.500).

Its crystal system is tetragonal. The energy relative to the elements comes out at -0.47 eV per atom. Its density of states at the Fermi level is 2.68 states/eV/cell. The magnetic moment is 0.0 μB/cell. The calculation puts the total DFT energy (no corrections) at -29.3 eV for the cell shown.

4.
Here is crystalline LaIn2Rh2 at its relaxed geometry from Alexandria via LeMat-Bulk. Energies are from PBE.

The structure belongs to space group I4/mmm (No. 139); the cell edges are 4.594, 4.594 and 10.730 Å and the angles 90.00°, 90.00° and 90.00°. The distinct sites, in fractional coordinates, are La at (0.000, 0.000, 0.000), In at (0.000, 0.000, 0.369) and Rh at (0.000, 0.500, 0.250).

Its crystal system is tetragonal. The energy relative to the elements comes out at -0.46 eV per atom. Its density of states at the Fermi level is 6.69 states/eV/cell. The magnetic moment is 0.0 μB/cell. The calculation puts the total DFT energy (no corrections) at -54.9 eV for the cell shown.

5.
Here is crystalline LaInRh3 at its relaxed geometry from Alexandria via LeMat-Bulk. Energies are from PBE.

The structure belongs to space group Pm-3m (No. 221); the cell edges are 4.942, 4.942 and 4.942 Å and the angles 90.00°, 90.00° and 90.00°. The distinct sites, in fractional coordinates, are La at (0.000, 0.000, 0.000), In at (0.500, 0.500, 0.500) and Rh at (0.000, 0.000, 0.500).

Its crystal system is cubic. The excess energy over the best structure of this formula in the dataset is 529 meV per atom. The energy relative to the elements comes out at 0.79 eV per atom. Its density of states at the Fermi level is 6.23 states/eV/cell. The magnetic moment is 0.0 μB/cell. The calculation puts the total DFT energy (no corrections) at -25.8 eV for the cell shown.

6.
Here is crystalline LaIn2Rh2 at its relaxed geometry from Alexandria via LeMat-Bulk. Energies are from PBE.

The structure belongs to space group I4/mmm (No. 139); the cell edges are 4.335, 4.335 and 11.831 Å and the angles 90.00°, 90.00° and 90.00°. The distinct sites, in fractional coordinates, are La at (0.000, 0.000, 0.000), In at (0.000, 0.500, 0.250) and Rh at (0.000, 0.000, 0.393).

Its crystal system is tetragonal. The energy relative to the elements comes out at -0.53 eV per atom. Its density of states at the Fermi level is 8.18 states/eV/cell. The magnetic moment is 0.0 μB/cell. The calculation puts the total DFT energy (no corrections) at -55.5 eV for the cell shown.

7.
Here is crystalline La3InRh3 at its relaxed geometry from Alexandria via LeMat-Bulk. Energies are from PBE.

The structure belongs to space group P6_3/m (No. 176); the cell edges are 8.8737, 8.8737 and 5.6869 Å and the angles 90.00°, 90.00° and 120.00°. The distinct sites, in fractional coordinates, are La at (0.0530, 0.3506, 0.2500), In at (0.3333, 0.6667, 0.7500) and Rh at (0.0406, 0.3602, 0.7500).

Its crystal system is hexagonal. The energy relative to the elements comes out at -0.54 eV per atom. Its density of states at the Fermi level is 7.11 states/eV/cell. The magnetic moment is 0.0 μB/cell. The calculation puts the total DFT energy (no corrections) at -86.6 eV for the cell shown.

8.
Here is crystalline LaIn3Rh2 at its relaxed geometry from Alexandria via LeMat-Bulk. Energies are from PBE.

The structure belongs to space group R-3m (No. 166, hexagonal axes); the cell edges are 6.7876, 6.7876 and 20.1378 Å and the angles 90.00°, 90.00° and 120.00°. The distinct sites, in fractional coordinates, are La at (0.0000, 0.0000, 0.2364), In at (0.0046, 0.5023, 0.2352), Rh at (0.0000, 0.0000, 0.0000) and Rh at (0.0000, 0.5000, 0.0000).

Its crystal system is trigonal. The excess energy over the best structure of this formula in the dataset is 137 meV per atom. The energy relative to the elements comes out at -0.35 eV per atom. Its density of states at the Fermi level is 22.90 states/eV/cell. The magnetic moment is 0.0 μB/cell. The calculation puts the total DFT energy (no corrections) at -179.8 eV for the cell shown.

9.
Here is crystalline LaIn3Rh2 at its relaxed geometry from Alexandria via LeMat-Bulk. Energies are from PBE.

The structure belongs to space group C2/m (No. 12); the cell edges are 18.446, 4.310 and 10.868 Å and the angles 90.00°, 110.45° and 90.00°. The distinct sites, in fractional coordinates, are La at (0.000, 0.000, 0.000), La at (0.164, 0.000, 0.696), In at (0.000, 0.500, 0.500), In at (0.039, 0.000, 0.339), In at (0.131, 0.500, 0.198), In at (0.173, 0.500, 0.957), In at (0.216, 0.000, 0.397), Rh at (0.020, 0.500, 0.809), Rh at (0.132, 0.500, 0.451) and Rh at (0.208, 0.000, 0.137).

Its crystal system is monoclinic. The excess energy over the best structure of this formula in the dataset is 0 meV per atom. The energy relative to the elements comes out at -0.49 eV per atom. Its density of states at the Fermi level is 20.22 states/eV/cell. The magnetic moment is 0.0 μB/cell. The calculation puts the total DFT energy (no corrections) at -184.7 eV for the cell shown.

10.
Here is crystalline LaInRh3 at its relaxed geometry from Alexandria via LeMat-Bulk. Energies are from PBE.

The structure belongs to space group Pm-3m (No. 221); the cell edges are 4.881, 4.881 and 4.881 Å and the angles 90.00°, 90.00° and 90.00°. The distinct sites, in fractional coordinates, are La at (0.000, 0.000, 0.000), In at (0.500, 0.500, 0.500) and Rh at (0.000, 0.500, 0.500).

Its crystal system is cubic. The excess energy over the best structure of this formula in the dataset is 0 meV per atom. The energy relative to the elements comes out at 0.26 eV per atom. Its density of states at the Fermi level is 5.86 states/eV/cell. The magnetic moment is 0.5 μB/cell. The calculation puts the total DFT energy (no corrections) at -28.4 eV for the cell shown.

11.
Here is crystalline La3In7Rh4 at its relaxed geometry from Alexandria via LeMat-Bulk. Energies are from PBE.

The structure belongs to space group C2/m (No. 12); the cell edges are 16.570, 4.518 and 10.158 Å and the angles 90.00°, 121.96° and 90.00°. The distinct sites, in fractional coordinates, are La at (0.000, 0.000, 0.000), La at (0.192, 0.500, 0.705), In at (0.000, 0.000, 0.500), In at (0.007, 0.500, 0.285), In at (0.162, 0.000, 0.428), In at (0.184, 0.500, 0.027), Rh at (0.111, 0.000, 0.836) and Rh at (0.168, 0.500, 0.279).

Its crystal system is monoclinic. The energy relative to the elements comes out at -0.58 eV per atom. Its density of states at the Fermi level is 16.29 states/eV/cell. The magnetic moment is 0.0 μB/cell. The calculation puts the total DFT energy (no corrections) at -142.9 eV for the cell shown.

12.
Here is crystalline La4In2Rh at its relaxed geometry from Alexandria via LeMat-Bulk. Energies are from PBE.

The structure belongs to space group I4/mmm (No. 139); the cell edges are 5.423, 5.423 and 16.502 Å and the angles 90.00°, 90.00° and 90.00°. The distinct sites, in fractional coordinates, are La at (0.000, 0.000, 0.181), La at (0.000, 0.500, 0.000), In at (0.000, 0.000, 0.372) and Rh at (0.000, 0.000, 0.000).

Its crystal system is tetragonal. The excess energy over the best structure of this formula in the dataset is 0 meV per atom. The energy relative to the elements comes out at -0.39 eV per atom. Its density of states at the Fermi level is 9.98 states/eV/cell. The magnetic moment is 0.0 μB/cell. The calculation puts the total DFT energy (no corrections) at -70.6 eV for the cell shown.